A plane-wave DFT calculation with PBE was carried out for an optimized crystal structure of Nd6TlAs2Se3.

a b c (Å): 4.2639 8.6843 9.6220
angles (deg): 102.85 102.80 90.00
With the nearest neighbours (Å) after each atom.
Positions (direct):
1 Se 0.8335 0.1682 0.6671  6 Nd 2.98-3.10
2 As 0.1676 0.3350 0.3353  6 Nd 2.97-3.02
3 As 0.8324 0.6650 0.6647  6 Nd 2.97-3.02
4 Nd 0.6699 0.5771 0.3397  3 As 2.97-2.99, 3 Se 3.08-3.10
5 Nd 0.0024 0.2627 0.0048  3 Se 2.97-3.09, 1 As 3.02, 2 Tl 3.12
6 Se 0.5000 0.5000 0.0000  6 Nd 2.97-3.10
7 Nd 0.3297 0.9070 0.6595  3 Se 2.98-3.10, 2 As 3.00, 1 Tl 3.11
8 Nd 0.3301 0.4229 0.6603  3 As 2.97-2.99, 3 Se 3.08-3.10
9 Tl 0.5000 0.0000 0.0000  6 Nd 3.11-3.12
10 Se 0.1665 0.8318 0.3329  6 Nd 2.98-3.10
11 Nd 0.9976 0.7373 0.9952  3 Se 2.97-3.09, 1 As 3.02, 2 Tl 3.12
12 Nd 0.6703 0.0930 0.3405  3 Se 2.98-3.10, 2 As 3.00, 1 Tl 3.11

Properties
Space group ... C2/m (12)
Density of states at the Fermi level ... 0.32 states/eV per atom
V ... 338.3 Å³ per cell
Uncorrected formation energy ... -1.49 eV per atom
Calculated total energy ... -5.722 eV per atom